#w
Compound: K2AlZn
Source: Alexandria via LeMat-Bulk
Functional: PBE-GGA
Structure: optimized geometry

Unit cell a=3.7311 b=3.7311 c=10.2124 alpha=90.00 beta=90.00 gamma=90.00
With the nearest neighbours (Å) after each atom.
Sites, in units of the cell vectors:
K 0.0000 0.0000 0.0000  1 Zn 3.44, 4 K 3.73, 4 Al 3.77
K 0.5000 0.5000 0.3977  1 Al 3.46, 4 K 3.73, 4 Zn 3.78
Al 0.5000 0.5000 0.7369  4 Zn 2.74
Zn 0.0000 0.0000 0.6630  4 Al 2.74

Calculated values
N(E_F) in states/eV/f.u.: 1.6


#x
Compound: K2AlZn
Source: Alexandria via LeMat-Bulk
Functional: PBE-GGA
Structure: optimized geometry

Unit cell a=9.3757 b=9.3757 c=9.3757 alpha=93.73 beta=93.73 gamma=150.44
With the nearest neighbours (Å) after each atom.
Sites, in units of the cell vectors:
K 0.3750 0.1884 0.3134  2 Zn 3.36, 2 Al 3.76
K 0.8116 0.1250 0.1866  2 Zn 3.36, 2 Al 3.76
K 0.8750 0.0616 0.6866  2 Zn 3.36, 2 Al 3.76
K 0.9384 0.6250 0.8134  2 Zn 3.36, 2 Al 3.76
Al 0.2500 0.7500 0.5000  2 Zn 2.39
Al 0.5000 0.5000 0.0000  2 Zn 2.39
Zn 0.0000 0.0000 0.0000  2 Al 2.39
Zn 0.7500 0.2500 0.5000  2 Al 2.39

Calculated values
N(E_F) in states/eV/f.u.: 2.5


#y
Compound: K2AlZn
Source: Alexandria via LeMat-Bulk
Functional: PBE-GGA
Structure: optimized geometry

Unit cell a=5.5429 b=5.5429 c=5.5429 alpha=119.37 beta=119.37 gamma=91.10
With the nearest neighbours (Å) after each atom.
Sites, in units of the cell vectors:
K 0.0000 0.0000 0.0000  4 K 3.41, 4 Zn 3.41
K 0.7500 0.2500 0.5000  4 K 3.41, 4 Al 3.41
Al 0.5000 0.5000 0.0000  4 K 3.41, 4 Zn 3.41
Zn 0.2500 0.7500 0.5000  4 K 3.41, 4 Al 3.41

Calculated values
N(E_F) in states/eV/f.u.: 4.9


Quick one: most stable of them? #w


#w
Compound: K2AlZn
Source: Alexandria via LeMat-Bulk
Functional: PBE-GGA
Structure: optimized geometry

Unit cell a=5.8904 b=5.8904 c=5.8904 alpha=60.00 beta=60.00 gamma=60.00
With the nearest neighbours (Å) after each atom.
Sites, in units of the cell vectors:
K 0.2500 0.2500 0.2500  4 Al 3.61, 4 Zn 3.61
K 0.7500 0.7500 0.7500  4 Al 3.61, 4 Zn 3.61
Al 0.0000 0.0000 0.0000  8 K 3.61
Zn 0.5000 0.5000 0.5000  8 K 3.61

Calculated values
N(E_F) in states/eV/f.u.: 4.2


#x
Compound: K2AlZn
Source: Alexandria via LeMat-Bulk
Functional: PBE-GGA
Structure: optimized geometry

Unit cell a=4.5120 b=4.5120 c=9.5127 alpha=102.98 beta=102.98 gamma=59.93
With the nearest neighbours (Å) after each atom.
Sites, in units of the cell vectors:
K 0.0000 0.0000 0.0000  3 Al 3.60-3.61, 3 Zn 3.61
K 0.1706 0.1706 0.5424  3 Zn 3.60-3.61, 3 Al 3.60
Al 0.7519 0.7519 0.2712  3 Zn 2.60
Zn 0.4188 0.4188 0.2714  3 Al 2.60

Calculated values
N(E_F) in states/eV/f.u.: 2.4


#y
Compound: K2AlZn
Source: Alexandria via LeMat-Bulk
Functional: PBE-GGA
Structure: optimized geometry

Unit cell a=5.6988 b=4.6156 c=6.5320 alpha=90.00 beta=115.82 gamma=90.00
With the nearest neighbours (Å) after each atom.
Sites, in units of the cell vectors:
K 0.0000 0.0000 0.0000  3 Zn 3.61-3.65, 4 Al 3.90-3.91
K 0.3019 0.5000 0.6035  3 Al 3.60-3.67, 4 Zn 3.89-3.90
Al 0.6144 0.5000 0.2283  2 Zn 2.47
Zn 0.6881 0.0000 0.3787  2 Al 2.47

Calculated values
N(E_F) in states/eV/f.u.: 1.7


#z
Compound: K2AlZn
Source: Alexandria via LeMat-Bulk
Functional: PBE-GGA
Structure: optimized geometry

Unit cell a=11.9794 b=11.9794 c=11.9794 alpha=17.60 beta=17.60 gamma=17.60
With the nearest neighbours (Å) after each atom.
Sites, in units of the cell vectors:
K 0.2494 0.2494 0.2494  3 Al 3.61, 3 Zn 3.64, 6 K 3.67
K 0.7506 0.7506 0.7506  3 Al 3.61, 3 Zn 3.64, 6 K 3.67
Al 0.5000 0.5000 0.5000  6 K 3.61, 6 Al 3.67
Zn 0.0000 0.0000 0.0000  6 K 3.64, 6 Zn 3.67

Calculated values
N(E_F) in states/eV/f.u.: 2.1


Quick one: most stable of them? #x


#w
Compound: K2AlZn
Source: Alexandria via LeMat-Bulk
Functional: PBE-GGA
Structure: optimized geometry

Unit cell a=3.3661 b=4.3591 c=9.4577 alpha=90.00 beta=90.35 gamma=90.00
With the nearest neighbours (Å) after each atom.
Sites, in units of the cell vectors:
K 0.9996 0.0000 0.2482  2 K 3.37, 4 Zn 3.61-3.63, 4 Al 3.63-3.65
K 0.0004 0.0000 0.7518  2 K 3.37, 4 Zn 3.61-3.63, 4 Al 3.63-3.65
Al 0.5000 0.5000 0.5000  2 Al 3.37, 8 K 3.63-3.65
Zn 0.5000 0.5000 0.0000  2 Zn 3.37, 8 K 3.61-3.63

Calculated values
N(E_F) in states/eV/f.u.: 2.4


#x
Compound: K2AlZn
Source: Alexandria via LeMat-Bulk
Functional: PBE-GGA
Structure: optimized geometry

Unit cell a=6.4536 b=6.4536 c=6.4536 alpha=134.78 beta=134.54 gamma=66.06
With the nearest neighbours (Å) after each atom.
Sites, in units of the cell vectors:
K 0.2496 0.2496 0.0000  4 K 3.52, 4 Zn 3.67-3.68, 4 Al 3.67-3.68
K 0.7504 0.7504 0.0000  4 K 3.52, 4 Zn 3.67-3.68, 4 Al 3.67-3.68
Al 0.5000 0.0000 0.5000  4 Zn 3.52, 8 K 3.67-3.68
Zn 0.0000 0.5000 0.5000  4 Al 3.52, 8 K 3.67-3.68

Calculated values
N(E_F) in states/eV/f.u.: 2.5


Quick one: most stable of them? #w


#w
Compound: K2Al2Zn
Source: Alexandria via LeMat-Bulk
Functional: PBE-GGA
Structure: optimized geometry

Unit cell a=6.9334 b=6.9334 c=5.9821 alpha=90.00 beta=90.00 gamma=90.00
With the nearest neighbours (Å) after each atom.
Sites, in units of the cell vectors:
K 0.1822 0.3178 0.0000  6 Al 3.48-3.73, 5 K 3.57-3.59
K 0.3178 0.8178 0.0000  6 Al 3.48-3.73, 5 K 3.57-3.59
K 0.6822 0.1822 0.0000  6 Al 3.48-3.73, 5 K 3.57-3.59
K 0.8178 0.6822 0.0000  6 Al 3.48-3.73, 5 K 3.57-3.59
Al 0.1356 0.6356 0.5000  1 Al 2.66, 2 Zn 2.70
Al 0.3644 0.1356 0.5000  1 Al 2.66, 2 Zn 2.70
Al 0.6356 0.8644 0.5000  1 Al 2.66, 2 Zn 2.70
Al 0.8644 0.3644 0.5000  1 Al 2.66, 2 Zn 2.70
Zn 0.0000 0.0000 0.5000  4 Al 2.70
Zn 0.5000 0.5000 0.5000  4 Al 2.70

Calculated values
N(E_F) in states/eV/f.u.: 3.3


#x
Compound: K2Al2Zn
Source: Alexandria via LeMat-Bulk
Functional: PBE-GGA
Structure: optimized geometry

Unit cell a=11.5374 b=11.5374 c=11.5374 alpha=160.82 beta=160.82 gamma=27.25
With the nearest neighbours (Å) after each atom.
Sites, in units of the cell vectors:
K 0.1078 0.1078 0.0000  4 Zn 3.64, 4 Al 3.72, 4 K 3.84
K 0.8922 0.8922 0.0000  4 Zn 3.64, 4 Al 3.72, 4 K 3.84
Al 0.2500 0.7500 0.5000  4 Al 2.72
Al 0.7500 0.2500 0.5000  4 Al 2.72
Zn 0.5000 0.5000 0.0000  8 K 3.64, 4 Zn 3.84

Calculated values
N(E_F) in states/eV/f.u.: 3.2


Quick one: most stable of them? #w